The following is a DFT calculation (PBE) of a relaxed structure of CeSmPbBr.

a b c (Å): 5.4471 5.4471 5.4471
angles (deg): 60.00 60.00 60.00
Closest atoms and distances in Å follow each position.
Fractional coordinates of all 4 atoms:
Ce  0.0000  0.0000  0.0000  4 Pb 3.34, 4 Br 3.34
Sm  0.5000  0.5000  0.5000  4 Pb 3.34, 4 Br 3.34
Pb  0.7500  0.7500  0.7500  4 Sm 3.34, 4 Ce 3.34
Br  0.2500  0.2500  0.2500  4 Sm 3.34, 4 Ce 3.34

Properties
Size of the total moment, Bohr magnetons per cell: 1.81
Space group: F-43m, No. 216

The following is a DFT calculation (PBE) of a relaxed structure of CeTl2PbBr8.

a b c (Å): 7.1117 9.0656 7.6739
angles (deg): 90.00 91.86 90.00
Closest atoms and distances in Å follow each position.
Fractional coordinates of all 12 atoms:
Ce  0.0000  0.0000  0.0000  6 Br 2.76-2.84
Tl  0.5000  0.2551  0.5000  6 Br 3.14-3.50
Tl  0.5000  0.7449  0.5000  6 Br 3.14-3.50
Pb  0.0000  0.5000  0.0000  6 Br 2.99-3.12
Br  0.2059  0.0000  0.3105  1 Ce 2.76
Br  0.2292  0.2302  0.8712  1 Ce 2.84, 1 Pb 3.12
Br  0.2292  0.7698  0.8712  1 Ce 2.84, 1 Pb 3.12
Br  0.2455  0.5000  0.3235  1 Pb 2.99, 2 Tl 3.14
Br  0.7545  0.5000  0.6765  1 Pb 2.99, 2 Tl 3.14
Br  0.7708  0.2302  0.1288  1 Ce 2.84, 1 Pb 3.12
Br  0.7708  0.7698  0.1288  1 Ce 2.84, 1 Pb 3.12
Br  0.7941  0.0000  0.6895  1 Ce 2.76

Properties
Size of the total moment, Bohr magnetons per cell: 0.00
Space group: P2/m, No. 10

The following is a DFT calculation (PBE) of a relaxed structure of CePd2Br6.

a b c (Å): 9.8788 9.8788 7.7388
angles (deg): 105.91 105.91 77.77
Closest atoms and distances in Å follow each position.
Fractional coordinates of all 18 atoms:
Ce  0.0905  0.9095  0.7500  6 Br 2.79-2.94
Ce  0.9095  0.0905  0.2500  6 Br 2.79-2.94
Pd  0.3905  0.5075  0.8601  3 Br 2.50-2.65, 2 Pd 2.62-2.69
Pd  0.4925  0.6095  0.6399  3 Br 2.50-2.65, 2 Pd 2.62-2.69
Pd  0.5075  0.3905  0.3601  3 Br 2.50-2.65, 2 Pd 2.62-2.69
Pd  0.6095  0.4925  0.1399  3 Br 2.50-2.65, 2 Pd 2.62-2.69
Br  0.0367  0.1823  0.6411  2 Ce 2.91-2.94
Br  0.1272  0.6454  0.8343  1 Pd 2.65, 1 Ce 2.79
Br  0.1823  0.0367  0.1411  2 Ce 2.91-2.94
Br  0.3315  0.3725  0.5283  2 Pd 2.50-2.52
Br  0.3546  0.8728  0.6657  1 Pd 2.65, 1 Ce 2.79
Br  0.3725  0.3315  0.0283  2 Pd 2.50-2.52
Br  0.6275  0.6685  0.9717  2 Pd 2.50-2.52
Br  0.6454  0.1272  0.3343  1 Pd 2.65, 1 Ce 2.79
Br  0.6685  0.6275  0.4717  2 Pd 2.50-2.52
Br  0.8177  0.9633  0.8589  2 Ce 2.91-2.94
Br  0.8728  0.3546  0.1657  1 Pd 2.65, 1 Ce 2.79
Br  0.9633  0.8177  0.3589  2 Ce 2.91-2.94

Properties
Size of the total moment, Bohr magnetons per cell: 2.57
Space group: C2/c, No. 15

The following is a DFT calculation (PBE) of a relaxed structure of CePdBr6.

a b c (Å): 6.9765 6.9765 7.6749
angles (deg): 105.08 105.08 114.28
Closest atoms and distances in Å follow each position.
Fractional coordinates of all 8 atoms:
Ce  0.0000  0.0000  0.0000  6 Br 2.70-2.88
Pd  0.5000  0.5000  0.5000  4 Br 2.48
Br  0.1333  0.4457  0.2808  1 Pd 2.48
Br  0.2041  0.2041  0.7923  1 Ce 2.70
Br  0.4457  0.1333  0.2808  1 Pd 2.48
Br  0.5543  0.8667  0.7192  1 Pd 2.48
Br  0.7959  0.7959  0.2077  1 Ce 2.70
Br  0.8667  0.5543  0.7192  1 Pd 2.48

Properties
Size of the total moment, Bohr magnetons per cell: 0.00
Offset from the most stable computed form, eV/atom: 0.0000
Space group: C2/m, No. 12

The following is a DFT calculation (PBE) of a relaxed structure of CePdBr6.

a b c (Å): 6.0834 7.2295 7.9160
angles (deg): 64.83 69.95 85.65
Closest atoms and distances in Å follow each position.
Fractional coordinates of all 8 atoms:
Ce  0.0000  0.0000  0.0000  6 Br 2.69-2.92
Pd  0.5000  0.5000  0.0000  4 Br 2.47
Br  0.0391  0.8067  0.3617  1 Ce 2.69
Br  0.2860  0.3808  0.8452  1 Pd 2.47
Br  0.4196  0.8509  0.8029  1 Pd 2.47
Br  0.5804  0.1491  0.1971  1 Pd 2.47
Br  0.7140  0.6192  0.1548  1 Pd 2.47
Br  0.9609  0.1933  0.6383  1 Ce 2.69

Properties
Size of the total moment, Bohr magnetons per cell: 0.00
Offset from the most stable computed form, eV/atom: 0.0335
Space group: P-1, No. 2

The following is a DFT calculation (PBE) of a relaxed structure of CePdBr2.

a b c (Å): 9.0210 9.0210 9.0210
angles (deg): 25.34 25.34 25.34
Closest atoms and distances in Å follow each position.
Fractional coordinates of all 4 atoms:
Ce  0.0000  0.0000  0.0000  2 Br 2.79
Pd  0.5000  0.5000  0.5000  6 Br 2.77
Br  0.1067  0.1067  0.1067  3 Pd 2.77, 1 Ce 2.79
Br  0.8933  0.8933  0.8933  3 Pd 2.77, 1 Ce 2.79

Properties
Size of the total moment, Bohr magnetons per cell: 0.46
Space group: R-3m, No. 166

The following is a DFT calculation (PBE) of a relaxed structure of CePmBr5.

a b c (Å): 8.2649 4.1323 13.7645
angles (deg): 90.00 91.83 90.00
Closest atoms and distances in Å follow each position.
Fractional coordinates of all 14 atoms:
Ce  0.0838  0.2500  0.1553  7 Br 3.04-3.15
Ce  0.9162  0.7500  0.8447  7 Br 3.04-3.15
Pm  0.4202  0.7500  0.3451  7 Br 2.92-3.14
Pm  0.5798  0.2500  0.6549  7 Br 2.92-3.14
Br  0.0587  0.7500  0.3166  1 Pm 3.00, 2 Ce 3.05
Br  0.1486  0.2500  0.9309  3 Ce 3.04-3.15
Br  0.3154  0.2500  0.4863  3 Pm 2.98-3.14
Br  0.3486  0.7500  0.1301  1 Pm 3.00, 2 Ce 3.04
Br  0.3543  0.7500  0.7159  2 Pm 2.92
Br  0.6457  0.2500  0.2841  2 Pm 2.92
Br  0.6514  0.2500  0.8699  1 Pm 3.00, 2 Ce 3.04
Br  0.6846  0.7500  0.5137  3 Pm 2.98-3.14
Br  0.8514  0.7500  0.0691  3 Ce 3.04-3.15
Br  0.9413  0.2500  0.6834  1 Pm 3.00, 2 Ce 3.05

Properties
Size of the total moment, Bohr magnetons per cell: 4.03
Space group: P2_1/m, No. 11

The following is a DFT calculation (PBE) of a relaxed structure of CePm2Br.

a b c (Å): 10.5807 10.5807 10.5807
angles (deg): 20.13 20.13 20.13
Closest atoms and distances in Å follow each position.
Fractional coordinates of all 4 atoms:
Ce  0.0000  0.0000  0.0000  6 Pm 3.53, 6 Ce 3.70
Pm  0.2430  0.2430  0.2430  3 Br 3.19, 3 Ce 3.53
Pm  0.7570  0.7570  0.7570  3 Br 3.19, 3 Ce 3.53
Br  0.5000  0.5000  0.5000  6 Pm 3.19

Properties
Size of the total moment, Bohr magnetons per cell: 0.94
Space group: R-3m, No. 166

Number 1: E_form (uncorrected) -0.72 eV per atom. Number 2: E_form (uncorrected) -1.17 eV per atom. Number 3: E_form (uncorrected) -0.84 eV per atom. Number 4: E_form (uncorrected) -1.06 eV per atom. Number 5: E_form (uncorrected) -1.03 eV per atom. Number 6: E_form (uncorrected) -0.30 eV per atom. Number 7: E_form (uncorrected) -1.79 eV per atom. Number 8: E_form (uncorrected) -0.51 eV per atom.